The following is a DFT calculation (PBEsol) of crystalline Dy2Ni12P7 at its relaxed geometry.

Properties
- electronic total energy (eV per formula unit) = -142.35
- total magnetization (μB/f.u.) = 0.0
- space group = P-6
- energy of formation (eV per atom) = -0.855

abc: 3.639 8.922 8.922
angles: 120.00 90.00 90.00
Atoms (fractional coordinates):
Dy (0.000, 0.333, 0.667)
Dy (0.500, 0.000, 0.000)
Ni (0.500, 0.286, 0.383)
Ni (0.500, 0.097, 0.714)
Ni (0.500, 0.617, 0.903)
Ni (0.000, 0.232, 0.959)
Ni (0.000, 0.727, 0.768)
Ni (0.000, 0.041, 0.273)
Ni (0.500, 0.452, 0.213)
Ni (0.500, 0.761, 0.548)
Ni (0.500, 0.787, 0.239)
Ni (0.000, 0.516, 0.457)
Ni (0.000, 0.942, 0.484)
Ni (0.000, 0.543, 0.058)
P (0.500, 0.557, 0.629)
P (0.500, 0.072, 0.443)
P (0.500, 0.371, 0.928)
P (0.000, 0.667, 0.333)
P (0.000, 0.261, 0.220)
P (0.000, 0.960, 0.739)
P (0.000, 0.780, 0.040)

***

The following is a DFT calculation (PBEsol) of crystalline Sc3Pt5 at its relaxed geometry.

Properties
- electronic total energy (eV per formula unit) = -63.65
- total magnetization (μB/f.u.) = 0.0
- space group = Cmmm
- energy of formation (eV per atom) = -1.127

abc: 4.203 5.575 5.575
angles: 94.39 90.00 90.00
Atoms (fractional coordinates):
Pt (0.000, 0.000, 0.000)
Pt (0.000, 0.500, 0.000)
Pt (0.000, 0.000, 0.500)
Pt (0.500, 0.721, 0.721)
Pt (0.500, 0.279, 0.279)
Sc (0.000, 0.500, 0.500)
Sc (0.500, 0.785, 0.215)
Sc (0.500, 0.215, 0.785)

***

The following is a DFT calculation (PBEsol) of crystalline ZnIr2Cl at its relaxed geometry.

Properties
- electronic total energy (eV per formula unit) = -20.30
- total magnetization (μB/f.u.) = 0.0
- space group = P4/mmm
- polymorph energy (0 for the lowest one) (meV per atom) = 423
- E_form (uncorrected) (eV/atom) = 0.73

abc: 2.931 4.381 4.381
angles: 90.00 90.00 90.00
Atoms (fractional coordinates):
Zn (0.500, 0.500, 0.500)
Ir (0.000, 0.000, 0.500)
Ir (0.000, 0.500, 0.000)
Cl (0.500, 0.000, 0.000)